Compound: LuFeAsAu
Source: OQMD
Functional: GGA-PBE
Structure: optimized geometry

extended XYZ file:
```
4
Lattice="1.5228 2.9871 3.2656 -2.6557 3.6418 1.2612 -2.0144 0.0758 4.2240" Properties=species:S:1:pos:R:3 pbc="T T T"
Lu -1.5736 3.3523 4.3754
Fe -2.3604 5.0285 6.5630
As 0.0000 0.0000 0.0000
Au -0.7868 1.6762 2.1877
```

## Properties
Its energy above the most stable polymorph in this dataset is 251 meV/atom. Its space-group type is No. 216.